First-principles (GGA-PBE) data for a geometry-optimized Cs3CaNp2S6 structure, as listed in Alexandria.

raw total energy	-6.079	eV/atom
M_tot	14.00	μB per cell
E_form (uncorrected)	-1.4781	eV/atom
crystal system	monoclinic

The structure in CIF format:
```
data_Cs3CaNp2S6
_cell_length_a 7.205
_cell_length_b 12.478
_cell_length_c 8.386
_cell_angle_alpha 90.00
_cell_angle_beta 106.61
_cell_angle_gamma 90.00
_symmetry_space_group_name_H-M 'C 1 2/m 1'
_symmetry_Int_Tables_number 12
_symmetry_space_group_name_Hall '-C 2y'
loop_
_atom_site_label
_atom_site_fract_x
_atom_site_fract_y
_atom_site_fract_z
Cs1 0.000 0.000 0.000
Cs2 0.000 0.338 0.000
Ca1 0.000 0.500 0.500
Np1 0.000 0.167 0.500
S1 0.211 0.000 0.679
S2 0.235 0.326 0.681
```